A:
The following is a DFT calculation (PBE) of a relaxed structure of CaPmNi2.

a b c (Å): 6.8714 6.8714 6.8714
angles (deg): 90.00 90.00 90.00
Space group Fm-3m (No. 225)
Asymmetric unit:
Ca1 0.0000 0.0000 0.0000 x4
Pm1 0.0000 0.0000 0.5000 x4
Ni1 0.2500 0.2500 0.2500 x8

Calculated values
- crystal system = cubic



B:
The following is a DFT calculation (PBE) of a relaxed structure of CaPmNi2.

a b c (Å): 4.1150 3.9627 10.6498
angles (deg): 90.00 90.00 90.00
Space group Amm2 (No. 38)
Asymmetric unit:
Ca1 0.0000 0.0000 0.0000 x2
Pm1 0.5000 0.0000 0.7192 x2
Ni1 0.0000 0.0000 0.2913 x2
Ni2 0.5000 0.0000 0.4149 x2

Calculated values
- crystal system = orthorhombic



C:
The following is a DFT calculation (PBE) of a relaxed structure of CaPmNi2.

a b c (Å): 3.4607 3.4607 6.8936
angles (deg): 90.00 90.00 90.00
Space group P4/mmm (No. 123)
Asymmetric unit:
Ca1 0.0000 0.0000 0.0000 x1
Pm1 0.0000 0.0000 0.5000 x1
Ni1 0.5000 0.5000 0.2744 x2

Calculated values
- crystal system = tetragonal



The most stable of them is B.



A:
The following is a DFT calculation (PBE) of a relaxed structure of CaPm2Ni.

a b c (Å): 3.5396 3.5396 9.4694
angles (deg): 90.00 90.00 90.00
Space group P4/mmm (No. 123)
Asymmetric unit:
Ca1 0.0000 0.0000 0.0000 x1
Pm1 0.5000 0.5000 0.3282 x2
Ni1 0.0000 0.0000 0.5000 x1

Calculated values
- crystal system = tetragonal



B:
The following is a DFT calculation (PBE) of a relaxed structure of CaPm2Ni.

a b c (Å): 3.8577 12.5148 9.5871
angles (deg): 90.00 90.00 90.00
Space group Cmcm (No. 63)
Asymmetric unit:
Ca1 0.0000 0.0801 0.2500 x4
Pm1 0.0000 0.3584 0.0689 x8
Ni1 0.0000 0.2291 0.7500 x4

Calculated values
- crystal system = orthorhombic



C:
The following is a DFT calculation (PBE) of a relaxed structure of CaPm2Ni.

a b c (Å): 3.9533 3.9533 28.9601
angles (deg): 90.00 90.00 120.00
Space group R-3m (No. 166, hexagonal axes)
Asymmetric unit:
Ca1 0.0000 0.0000 0.0000 x3
Pm1 0.0000 0.0000 0.2207 x6
Ni1 0.0000 0.0000 0.5000 x3

Calculated values
- crystal system = trigonal



The most stable of them is B.



A:
The following is a DFT calculation (PBE) of a relaxed structure of CaPm3Ni.

a b c (Å): 5.5156 5.5156 5.5156
angles (deg): 90.00 90.00 90.00
Space group Pm-3m (No. 221)
Asymmetric unit:
Ca1 0.0000 0.0000 0.0000 x1
Pm1 0.0000 0.5000 0.5000 x3
Ni1 0.5000 0.5000 0.5000 x1

Calculated values
- crystal system = cubic



B:
The following is a DFT calculation (PBE) of a relaxed structure of CaPm3Ni.

a b c (Å): 7.7436 7.7436 6.1639
angles (deg): 90.00 90.00 120.00
Space group P6_3/mmc (No. 194)
Asymmetric unit:
Ca1 0.3333 0.6667 0.2500 x2
Pm1 0.1721 0.3443 0.7500 x6
Ni1 0.0000 0.0000 0.0000 x2

Calculated values
- crystal system = hexagonal



The most stable of them is B.



A:
The following is a DFT calculation (PBE) of a relaxed structure of CaPr2Ni2.

a b c (Å): 4.1520 16.2358 3.8996
angles (deg): 90.00 90.00 90.00
Space group Cmmm (No. 65)
Asymmetric unit:
Ca1 0.0000 0.0000 0.0000 x2
Pr1 0.0000 0.3433 0.5000 x4
Ni1 0.0000 0.2032 0.0000 x4

Calculated values
- crystal system = orthorhombic



B:
The following is a DFT calculation (PBE) of a relaxed structure of CaPr2Ni2.

a b c (Å): 12.1663 3.9664 5.4894
angles (deg): 90.00 102.00 90.00
Space group C2/m (No. 12)
Asymmetric unit:
Ca1 0.0000 0.0000 0.0000 x2
Pr1 0.1452 0.5000 0.5771 x4
Ni1 0.2279 0.5000 0.1146 x4

Calculated values
- crystal system = monoclinic



The most stable of them is A.